Record 1
Here is crystalline Li7SbPd4 at its relaxed geometry from Alexandria via LeMat-Bulk. Energies are from GGA-PBE.

Structure (CIF):
```
data_Li7SbPd4
_chemical_formula_sum 'Li7 Sb1 Pd4'
_symmetry_space_group_name_H-M 'P 1'
_symmetry_Int_Tables_number 1
_symmetry_space_group_name_Hall 'P 1'
_cell_length_a 4.770
_cell_length_b 8.590
_cell_length_c 5.311
_cell_angle_alpha 88.28
_cell_angle_beta 63.31
_cell_angle_gamma 73.88
loop_
_atom_site_label
_atom_site_type_symbol
_atom_site_fract_x
_atom_site_fract_y
_atom_site_fract_z
Li1 Li 0.339 0.543 0.779
Li2 Li 0.216 0.089 0.480
Li3 Li 0.500 0.000 0.000
Li4 Li 0.784 0.911 0.520
Li5 Li 0.661 0.457 0.221
Li6 Li 0.966 0.375 0.692
Li7 Li 0.034 0.625 0.308
Pd1 Pd 0.303 0.302 0.092
Pd2 Pd 0.697 0.698 0.908
Pd3 Pd 0.637 0.224 0.502
Pd4 Pd 0.363 0.776 0.498
Sb1 Sb 0.000 0.000 0.000
```

Computed properties:
total magnetic moment = 0.00 μB per formula unit
E = -0.2525 Ry per atom
formation energy (no corrections) = -0.245 eV per atom

=====

Record 2
Here is crystalline FeReW2N at its relaxed geometry from Alexandria via LeMat-Bulk. Energies are from GGA-PBE.

Structure (CIF):
```
data_FeReW2N
_chemical_formula_sum 'Fe1 Re1 W2 N1'
_symmetry_space_group_name_H-M 'P 1'
_symmetry_Int_Tables_number 1
_symmetry_space_group_name_Hall 'P 1'
_cell_length_a 4.114
_cell_length_b 4.114
_cell_length_c 3.777
_cell_angle_alpha 90.00
_cell_angle_beta 90.00
_cell_angle_gamma 90.00
loop_
_atom_site_label
_atom_site_type_symbol
_atom_site_fract_x
_atom_site_fract_y
_atom_site_fract_z
N1 N 0.000 0.000 0.000
Fe1 Fe 0.000 0.000 0.500
W1 W 0.500 0.000 0.000
W2 W 0.000 0.500 0.000
Re1 Re 0.500 0.500 0.500
```

Computed properties:
total magnetic moment = 0.01 μB per formula unit
E = -0.8095 Ry per atom
formation energy (no corrections) = 0.015 eV per atom